[1]
DFT (GGA-PBE) results for a geometry-optimized YBe2Te structure.

Geometry as POSCAR:
```
YBe2Te
1.0
-5.1854 -1.7900 -0.1300
-1.3540 -3.1210 -4.3053
3.7948 0.1834 3.9592
Y Te Be
1 1 2
direct
0.2500 0.7500 0.5000
0.7500 0.2500 0.5000
0.5111 0.5111 0.0000
0.9889 0.9889 0.0000
```

Output
The value obtained for the polymorph energy (0 for the lowest one) is 298.1 meV per atom. The calculation puts the magnetization at 0.00 μB per atom.

---

[2]
DFT (GGA-PBE) results for a geometry-optimized Y2Be2Te structure.

Geometry as POSCAR:
```
Y2Be2Te
1.0
6.9516 0.0000 0.0000
0.0000 6.9516 0.0000
0.0000 0.0000 4.1989
Be Te Y
4 2 4
direct
0.6086 0.1086 0.0000
0.3914 0.8914 0.0000
0.8914 0.6086 0.0000
0.1086 0.3914 0.0000
0.0000 0.0000 0.0000
0.5000 0.5000 0.0000
0.6705 0.8295 0.5000
0.3295 0.1705 0.5000
0.8295 0.3295 0.5000
0.1705 0.6705 0.5000
```

Output
The total energy comes out at -4.998 eV per atom. The calculation puts the magnetization at 0.00 μB per atom.